1.
Entry from Alexandria: PmNd7Y4 after structural relaxation (PBE-GGA).

Calculated values
Energy above the lowest structure with this stoichiometry (eV per atom): 0.0000
Formation enthalpy at 0 K (eV/f.u.): 0.00

Cell: 6.3643 7.3414 9.0522 Å, 89.97 76.47 89.93°
Closest atoms and distances in Å follow each position.
Sites, in units of the cell vectors:
Pm 0.0000 0.0000 0.0000  10 Nd 3.62-3.68, 2 Y 3.63
Nd 0.0000 0.5000 0.0000  4 Y 3.61-3.63, 6 Nd 3.63-3.67, 2 Pm 3.67
Nd 0.2218 0.0002 0.3339  6 Nd 3.61-3.68, 1 Pm 3.62, 5 Y 3.63-3.69
Nd 0.2785 0.2498 0.6654  6 Y 3.60-3.69, 5 Nd 3.61-3.68, 1 Pm 3.63
Nd 0.4994 0.2523 0.0009  3 Y 3.61-3.63, 7 Nd 3.63-3.70, 2 Pm 3.68
Nd 0.5006 0.7477 0.9991  3 Y 3.61-3.63, 7 Nd 3.63-3.70, 2 Pm 3.68
Nd 0.7215 0.7502 0.3346  6 Y 3.60-3.69, 5 Nd 3.61-3.68, 1 Pm 3.63
Nd 0.7782 0.9998 0.6661  6 Nd 3.61-3.68, 1 Pm 3.62, 5 Y 3.63-3.69
Y 0.2202 0.5001 0.3349  4 Y 3.59-3.66, 8 Nd 3.60-3.68
Y 0.2786 0.7468 0.6664  3 Y 3.60-3.66, 8 Nd 3.61-3.69, 1 Pm 3.63
Y 0.7214 0.2532 0.3336  3 Y 3.60-3.66, 8 Nd 3.61-3.69, 1 Pm 3.63
Y 0.7798 0.4999 0.6651  4 Y 3.59-3.66, 8 Nd 3.60-3.68

---

2.
Entry from Alexandria: LaNdSeS after structural relaxation (PBE-GGA).

Calculated values
Energy relative to the elements, uncorrected (eV per atom): -2.019

Cell: 7.2926 7.2926 7.2926 Å, 33.35 33.35 33.35°
Closest atoms and distances in Å follow each position.
Sites, in units of the cell vectors:
La 0.0000 0.0000 0.0000  3 S 2.91, 3 Se 3.07
Nd 0.5135 0.5135 0.5135  3 S 2.87, 3 Se 3.03
Se 0.7581 0.7581 0.7581  3 Nd 3.03, 3 La 3.07
S 0.2548 0.2548 0.2548  3 Nd 2.87, 3 La 2.91

---

3.
Entry from Alexandria: PI2 after structural relaxation (PBE-GGA).

Calculated values
Energy above the lowest structure with this stoichiometry (eV per atom): 0.0050
Energy relative to the elements, uncorrected (eV per atom): -0.035

Cell: 5.5990 7.3444 8.0693 Å, 103.91 110.13 95.89°
Closest atoms and distances in Å follow each position.
Sites, in units of the cell vectors:
P 0.2056 0.0248 0.0058  1 P 2.26, 2 I 2.47-2.49
P 0.7944 0.9752 0.9942  1 P 2.26, 2 I 2.47-2.49
I 0.1366 0.2472 0.8149  1 P 2.47
I 0.3942 0.2466 0.3266  1 P 2.49
I 0.6058 0.7534 0.6734  1 P 2.49
I 0.8634 0.7528 0.1851  1 P 2.47

---

no.,total DFT energy (no corrections) (eV/atom),M_tot (μB/atom)
1,-5.332,0.000
2,-6.345,0.000
3,-2.872,0.000